This record from Alexandria via LeMat-Bulk describes a relaxed KY2Pb crystal. The functional is PBE.

Values from the calculation:
For the electronic total energy, the calculation gives -4.41 eV per atom.

Lattice parameters (Å, degrees): 3.729 6.062 12.576 90.00 90.00 90.00
Space group Immm (No. 71)
Asymmetric unit:
K1 0.000 0.000 0.000
Y1 0.000 0.500 0.208
Pb1 0.000 0.000 0.500